Zr2FeTcN | PBE-GGA | optimized geometry

Output
As for the space group: P4/mmm (123). As for the crystal system: tetragonal. The total energy is -0.279 Ha/atom.

Cell lengths 4.8345, 4.8345, 4.1701 Å; angles 90.00, 90.00, 90.00 degrees
Atoms (fractional coordinates):
Zr 0.0000 0.5000 0.0000
Zr 0.5000 0.0000 0.0000
Fe 0.0000 0.0000 0.0000
Tc 0.0000 0.0000 0.5000
N 0.5000 0.5000 0.5000